Entry 1:
Below is a relaxed structure of Zr4Sc2Tl3N3, with properties calculated at the PBE level.

```
Zr4Sc2Tl3N3
1.0
-2.402 5.075 1.381
-0.294 1.647 5.535
14.011 4.314 -3.551
N Zr Tl Sc
6 8 6 4
Cartesian
5.360 5.810 0.091
5.955 5.226 3.274
-2.089 4.758 3.003
6.859 2.981 0.992
-0.607 1.965 3.912
-1.201 2.538 0.690
0.655 1.378 0.123
10.660 9.658 3.242
-1.137 5.849 4.737
5.098 3.598 -0.285
12.452 5.187 -1.372
6.218 7.438 3.650
3.298 8.082 4.313
8.018 2.954 -0.949
9.430 5.760 -0.701
1.885 5.277 4.066
8.541 8.003 1.601
1.277 5.867 0.840
10.038 5.169 2.525
2.774 3.033 1.764
7.119 5.217 1.355
11.549 7.412 0.919
4.196 5.819 2.009
-0.233 3.625 2.446
```

Results
calculated total energy: -183.02 eV/cell

Entry 2:
Below is a relaxed structure of TmScN, with properties calculated at the PBE level.

```
TmScN
1.0
-3.786 1.707 -1.590
-1.281 2.758 6.010
3.504 3.573 -4.507
N Tm Sc
3 3 3
Cartesian
1.170 1.197 -1.500
-0.425 0.925 2.004
1.484 4.224 1.003
1.901 3.277 -1.007
0.306 3.005 2.499
2.215 6.306 1.497
-0.718 2.067 -2.290
-0.406 5.088 0.210
-2.311 1.795 1.211
```

Results
calculated total energy: -66.38 eV/cell

Entry 3:
Below is a relaxed structure of Tm2ScN3, with properties calculated at the PBE level.

```
Tm2ScN3
1.0
-1.500 0.782 -2.860
2.336 -2.363 0.059
-5.703 -5.604 1.459
Tm N Sc
2 3 1
Cartesian
-3.666 -5.955 0.294
-1.202 -1.229 -1.636
-0.895 -3.232 -0.415
-3.973 -3.952 -0.927
0.000 0.000 0.000
-2.852 -2.802 0.730
```

Results
calculated total energy: -51.24 eV/cell

Entry 4:
Below is a relaxed structure of Sc4Zn3W2N3, with properties calculated at the PBE level.

```
Sc4Zn3W2N3
1.0
4.741 -2.755 0.000
4.741 2.755 0.000
-3.175 0.000 13.358
N Zn Sc W
6 6 8 4
Cartesian
2.341 1.417 6.679
0.783 -1.378 6.679
3.929 -1.417 0.000
5.552 1.417 0.000
2.370 1.378 0.000
3.965 -1.417 6.679
1.075 0.281 10.027
2.663 -0.281 3.348
3.643 0.281 10.010
2.359 -1.956 10.019
3.947 1.956 3.340
5.231 -0.281 3.331
7.109 0.433 5.391
5.542 -0.485 7.971
0.764 0.485 5.387
7.129 0.485 1.292
-0.803 -0.433 7.968
5.521 -0.433 12.070
-0.823 -0.485 12.066
0.785 0.433 1.288
3.956 0.465 5.714
2.350 -0.465 7.644
3.938 0.465 0.965
2.368 -0.465 12.393
```

Results
calculated total energy: -179.16 eV/cell

What is the calculated total energy in the first record? -183.02 eV/cell